No. 1
# PBEsol KYSc2, optimized geometry
# E above lowest polymorph (eV/atom): 0.097
# Energy of formation from the pure elements (kcal/mol of atoms): 15.6
# D(E_F) (states/eV/f.u.): 7.0
# Final energy (eV/f.u.): -18.46
# Crystal system: cubic
data_KYSc2
_chemical_formula_sum 'K4 Y4 Sc8'
_space_group_name_H-M_alt 'F m -3 m'
_space_group_IT_number 225
_space_group_name_Hall '-F 4 2 3'
_cell_length_a 7.827
_cell_length_b 7.827
_cell_length_c 7.827
_cell_angle_alpha 90.00
_cell_angle_beta 90.00
_cell_angle_gamma 90.00
loop_
_atom_site_label
_atom_site_fract_x
_atom_site_fract_y
_atom_site_fract_z
_atom_site_occupancy
K1 0.000 0.000 0.000 1
Y1 0.000 0.000 0.500 1
Sc1 0.250 0.250 0.250 1


No. 2
# PBEsol KScZn3, optimized geometry
# Energy of formation from the pure elements (kcal/mol of atoms): 26.4
# D(E_F) (states/eV/f.u.): 5.0
# Final energy (eV/f.u.): -6.75
# Crystal system: cubic
data_KScZn3
_chemical_formula_sum 'K1 Sc1 Zn3'
_space_group_name_H-M_alt 'P m -3 m'
_space_group_IT_number 221
_space_group_name_Hall '-P 4 2 3'
_cell_length_a 5.100
_cell_length_b 5.100
_cell_length_c 5.100
_cell_angle_alpha 90.00
_cell_angle_beta 90.00
_cell_angle_gamma 90.00
loop_
_atom_site_label
_atom_site_fract_x
_atom_site_fract_y
_atom_site_fract_z
_atom_site_occupancy
K1 0.000 0.000 0.000 1
Sc1 0.500 0.500 0.500 1
Zn1 0.000 0.000 0.500 1


No. 3
# PBEsol K2ScZn, optimized geometry
# Energy of formation from the pure elements (kcal/mol of atoms): 4.4
# D(E_F) (states/eV/f.u.): 3.0
# Final energy (eV/f.u.): -9.69
# Crystal system: tetragonal
data_K2ScZn
_chemical_formula_sum 'K2 Sc1 Zn1'
_space_group_name_H-M_alt 'P 4 m m'
_space_group_IT_number 99
_space_group_name_Hall 'P 4 -2'
_cell_length_a 3.646
_cell_length_b 3.646
_cell_length_c 10.747
_cell_angle_alpha 90.00
_cell_angle_beta 90.00
_cell_angle_gamma 90.00
loop_
_atom_site_label
_atom_site_fract_x
_atom_site_fract_y
_atom_site_fract_z
_atom_site_occupancy
K1 0.000 0.000 0.000 1
K2 0.500 0.500 0.382 1
Sc1 0.000 0.000 0.670 1
Zn1 0.500 0.500 0.769 1


No. 4
# PBEsol K2ZrSc, optimized geometry
# E above lowest polymorph (eV/atom): 0.132
# Energy of formation from the pure elements (kcal/mol of atoms): 21.6
# D(E_F) (states/eV/f.u.): 5.8
# Final energy (eV/f.u.): -14.21
# Crystal system: orthorhombic
data_K2ZrSc
_chemical_formula_sum 'K2 Zr1 Sc1'
_space_group_name_H-M_alt 'P m m m'
_space_group_IT_number 47
_space_group_name_Hall '-P 2 2'
_cell_length_a 3.070
_cell_length_b 6.264
_cell_length_c 6.751
_cell_angle_alpha 90.00
_cell_angle_beta 90.00
_cell_angle_gamma 90.00
loop_
_atom_site_label
_atom_site_fract_x
_atom_site_fract_y
_atom_site_fract_z
_atom_site_occupancy
K1 0.000 0.248 0.000 1
Zr1 0.500 0.000 0.500 1
Sc1 0.500 0.500 0.500 1